Entry 1:
DFT (PBE-GGA) results for a geometry-optimized Pa2NbIr structure.

Computed properties:
Energy of formation from the pure elements   0.19 eV per atom
Volume   21.10 A^3/atom
Theoretical density   14.7 g/cm³
Space-group type   R-3m, No. 166

```
Pa2NbIr
1.0
1.524 0.880 10.494
-1.524 0.880 10.494
0.000 -1.759 10.494
Pa Nb Ir
2 1 1
direct
0.090 0.090 0.090
0.910 0.910 0.910
0.000 0.000 0.000
0.500 0.500 0.500
```


Entry 2:
DFT (PBE-GGA) results for a geometry-optimized Pa3Nb12Ir5 structure.

Computed properties:
Energy of formation from the pure elements   0.78 eV per atom
Volume   23.16 A^3/atom
Theoretical density   9.9 g/cm³
Space-group type   Ia-3d, No. 230

```
Pa3Nb12Ir5
1.0
-7.738 7.738 7.738
7.738 -7.738 7.738
7.738 7.738 -7.738
Pa Nb Ir
12 48 20
direct
0.125 0.250 0.375
0.125 0.375 0.750
0.250 0.375 0.125
0.250 0.875 0.625
0.375 0.125 0.250
0.375 0.750 0.125
0.625 0.250 0.875
0.625 0.875 0.750
0.750 0.125 0.375
0.750 0.625 0.875
0.875 0.625 0.250
0.875 0.750 0.625
0.044 0.220 0.108
0.044 0.324 0.936
0.064 0.608 0.387
0.064 0.956 0.676
0.108 0.044 0.220
0.108 0.564 0.887
0.113 0.720 0.676
0.113 0.892 0.436
0.176 0.220 0.613
0.176 0.456 0.564
0.220 0.108 0.044
0.220 0.613 0.176
0.280 0.324 0.887
0.280 0.456 0.392
0.324 0.887 0.280
0.324 0.936 0.044
0.387 0.064 0.608
0.387 0.824 0.780
0.392 0.280 0.456
0.392 0.613 0.936
0.436 0.113 0.892
0.436 0.824 0.544
0.456 0.392 0.280
0.456 0.564 0.176
0.544 0.436 0.824
0.544 0.608 0.720
0.564 0.176 0.456
0.564 0.887 0.108
0.608 0.387 0.064
0.608 0.720 0.544
0.613 0.176 0.220
0.613 0.936 0.392
0.676 0.064 0.956
0.676 0.113 0.720
0.720 0.544 0.608
0.720 0.676 0.113
0.780 0.387 0.824
0.780 0.892 0.956
0.824 0.544 0.436
0.824 0.780 0.387
0.887 0.108 0.564
0.887 0.280 0.324
0.892 0.436 0.113
0.892 0.956 0.780
0.936 0.044 0.324
0.936 0.392 0.613
0.956 0.676 0.064
0.956 0.780 0.892
0.000 0.000 0.000
0.000 0.000 0.500
0.000 0.500 0.000
0.000 0.500 0.500
0.125 0.750 0.875
0.125 0.875 0.250
0.250 0.125 0.875
0.250 0.625 0.375
0.375 0.250 0.625
0.375 0.625 0.750
0.500 0.000 0.000
0.500 0.000 0.500
0.500 0.500 0.000
0.500 0.500 0.500
0.625 0.375 0.250
0.625 0.750 0.375
0.750 0.375 0.625
0.750 0.875 0.125
0.875 0.125 0.750
0.875 0.250 0.125
```